1.
{"formula": "Co6Ni8Pd", "functional": "PBE-GGA", "state": "optimized geometry", "cell": [[-1.568, 1.362, 5.452], [-0.115, -4.130, 4.120], [5.619, 0.358, 4.648]], "species": ["Co", "Co", "Co", "Co", "Co", "Co", "Ni", "Ni", "Ni", "Ni", "Ni", "Ni", "Ni", "Ni", "Pd"], "fractional_positions": [[0.663, 0.336, 0.201], [0.336, 0.799, 0.201], [0.664, 0.201, 0.799], [0.201, 0.337, 0.799], [0.337, 0.664, 0.799], [0.799, 0.663, 0.201], [0.414, 0.938, 0.419], [0.938, 0.229, 0.419], [0.062, 0.771, 0.581], [0.703, 0.703, 0.891], [0.586, 0.062, 0.581], [0.771, 0.586, 0.581], [0.297, 0.297, 0.109], [0.229, 0.414, 0.419], [0.000, 0.000, 0.000]]}

2.
{"formula": "Co4Ni5Pd2", "functional": "PBE-GGA", "state": "optimized geometry", "cell": [[4.078, 0.000, -0.997], [-0.561, 3.791, -2.296], [0.028, -0.698, 8.956]], "species": ["Co", "Co", "Co", "Co", "Pd", "Pd", "Ni", "Ni", "Ni", "Ni", "Ni"], "fractional_positions": [[0.699, 0.472, 0.398], [0.965, 0.660, 0.929], [0.301, 0.528, 0.602], [0.035, 0.340, 0.071], [0.399, 0.261, 0.797], [0.601, 0.739, 0.203], [0.132, 0.131, 0.264], [0.789, 0.189, 0.577], [0.211, 0.811, 0.423], [0.500, 0.000, 0.000], [0.868, 0.869, 0.736]]}

3.
{"formula": "Co2Ni5Pd", "functional": "PBE-GGA", "state": "optimized geometry", "cell": [[2.527, 0.000, 0.000], [1.263, 6.117, -0.345], [1.263, 1.511, 5.937]], "species": ["Ni", "Ni", "Ni", "Ni", "Ni", "Pd", "Co", "Co"], "fractional_positions": [[0.367, 0.859, 0.407], [0.633, 0.141, 0.593], [0.633, 0.593, 0.141], [0.367, 0.407, 0.859], [0.000, 0.500, 0.500], [0.000, 0.000, 0.000], [0.746, 0.754, 0.754], [0.254, 0.246, 0.246]], "polymorph_energy_ev_per_atom": 0.0285}

4.
{"formula": "Co2Ni3Pd2", "functional": "PBE-GGA", "state": "optimized geometry", "cell": [[2.465, 0.000, 0.762], [1.451, 6.029, -0.327], [-0.541, -2.794, 6.122]], "species": ["Co", "Co", "Pd", "Pd", "Ni", "Ni", "Ni"], "fractional_positions": [[0.185, 0.927, 0.703], [0.815, 0.073, 0.297], [0.543, 0.664, 0.250], [0.457, 0.336, 0.750], [0.353, 0.222, 0.071], [0.647, 0.778, 0.929], [0.000, 0.500, 0.500]]}

5.
{"formula": "CoNi2Pd2", "functional": "PBE-GGA", "state": "optimized geometry", "cell": [[-0.258, 2.095, 2.926], [2.293, -2.165, 1.752], [5.410, 3.108, 0.476]], "species": ["Ni", "Ni", "Pd", "Pd", "Co"], "fractional_positions": [[0.595, 0.595, 0.810], [0.405, 0.405, 0.190], [0.750, 0.250, 0.500], [0.250, 0.750, 0.500], [0.000, 0.000, 0.000]], "polymorph_energy_ev_per_atom": 0.3656}

6.
{"formula": "Co5Ni4Pd2", "functional": "PBE-GGA", "state": "optimized geometry", "cell": [[-1.882, -1.372, -1.062], [3.654, 0.004, -6.478], [1.606, -5.972, 4.866]], "species": ["Co", "Co", "Co", "Co", "Co", "Pd", "Pd", "Ni", "Ni", "Ni", "Ni"], "fractional_positions": [[0.000, 0.086, 0.173], [0.000, 0.450, 0.289], [0.000, 0.550, 0.711], [0.000, 0.914, 0.827], [0.000, 0.500, 0.000], [0.000, 0.166, 0.680], [0.000, 0.834, 0.320], [0.500, 0.286, 0.456], [0.500, 0.714, 0.544], [0.500, 0.777, 0.004], [0.500, 0.223, 0.996]]}

Respective raw total energy values: -5.86, -6.04, -5.98, -5.89, -5.22, -6.13 eV per atom.
Respective ΔH_f (0 K) values: 413, 113, 63, 106, 590, 150 meV per atom.
Respective density of states at the Fermi level values: 17.68, 15.66, 10.46, 8.03, 10.69, 13.64 states/eV per cell.